Below is a geometry-optimized ZrSiOs2 structure, with properties calculated at the PBE-GGA level.

SG: Cmm2
Uncorrected formation energy, meV per atom: 231
Calculated total energy, eV/atom: -8.876
V, Å³ per cell: 63

```
data_ZrSiOs2
_chemical_formula_sum 'Zr1 Si1 Os2'
_cell_length_a 2.8212
_cell_length_b 2.8212
_cell_length_c 8.8122
_cell_angle_alpha 90.00
_cell_angle_beta 90.00
_cell_angle_gamma 115.35
_space_group_name_H-M_alt 'P 1'
_space_group_IT_number 1
loop_
_space_group_symop_operation_xyz
'x,y,z'
loop_
_atom_site_label
_atom_site_fract_x
_atom_site_fract_y
_atom_site_fract_z
Os1 0.0000 0.0000 0.0090
Os2 0.5000 0.5000 0.2699
Si1 0.0000 0.0000 0.4795
Zr1 0.5000 0.5000 0.7416
```